(1)
Below is a geometry-optimized GdHoCo2Pb structure, with properties calculated at the PBE-GGA level.

Geometry as extended XYZ:
```
5
Lattice="3.858 0.000 0.000 0.000 1.926 7.061 0.000 -1.926 7.061" Properties=species:S:1:pos:R:3 pbc="T T T"
Gd 0.000 0.000 0.000
Ho 0.000 0.000 10.152
Co 1.929 0.000 2.189
Co 1.929 0.000 8.010
Pb 1.929 0.000 5.063
```

Calculated values
Magnetization = 1.43 μB/cell
Calculated total energy = -5.77 eV/atom


(2)
Below is a geometry-optimized PaPbO3 structure, with properties calculated at the PBE-GGA level.

Geometry as extended XYZ:
```
20
Lattice="6.046 0.000 0.000 0.000 9.891 0.000 0.000 0.000 5.806" Properties=species:S:1:pos:R:3 pbc="T T T"
Pa 0.262 2.473 0.242
Pa 2.761 7.418 3.145
Pa 3.285 2.473 2.660
Pa 5.784 7.418 5.563
Pb 0.000 0.000 2.903
Pb 0.000 4.945 2.903
Pb 3.023 0.000 0.000
Pb 3.023 4.945 0.000
O 0.949 7.418 1.705
O 1.318 6.091 4.551
O 1.318 8.745 4.551
O 1.705 1.145 1.648
O 1.705 3.800 1.648
O 2.075 2.473 4.608
O 3.972 7.418 1.197
O 4.342 6.091 4.158
O 4.342 8.745 4.158
O 4.728 1.145 1.255
O 4.728 3.800 1.255
O 5.098 2.473 4.100
```

Calculated values
Magnetization = 4.00 μB/cell
Calculated total energy = -7.58 eV/atom


(3)
Below is a geometry-optimized Ta3Sb5Au structure, with properties calculated at the PBE-GGA level.

Geometry as extended XYZ:
```
9
Lattice="5.693 0.000 0.000 -2.846 4.930 0.000 0.000 0.000 8.391" Properties=species:S:1:pos:R:3 pbc="T T T"
Ta -1.423 2.465 0.000
Ta 2.846 0.000 0.000
Ta 1.423 2.465 0.000
Sb 0.000 0.000 0.000
Sb 0.000 3.287 2.440
Sb 0.000 3.287 5.951
Sb 2.846 1.643 2.440
Sb 2.846 1.643 5.951
Au 0.000 0.000 4.196
```

Calculated values
Magnetization = 0.00 μB/cell
Calculated total energy = -6.51 eV/atom


(4)
Below is a geometry-optimized LaCuSnTe2S structure, with properties calculated at the PBE-GGA level.

Geometry as extended XYZ:
```
12
Lattice="2.116 -7.180 0.000 2.116 7.180 0.000 0.000 0.000 10.827" Properties=species:S:1:pos:R:3 pbc="T T T"
La 0.000 0.000 0.000
La 0.000 0.000 5.414
Cu 2.116 0.329 8.120
Cu 2.116 -0.329 2.707
Sn 2.116 3.336 2.707
Sn 2.116 -3.336 8.120
Te 2.116 2.235 6.238
Te 2.116 2.235 10.003
Te 2.116 -2.235 0.824
Te 2.116 -2.235 4.589
S 2.116 6.250 8.120
S 2.116 -6.250 2.707
```

Calculated values
Magnetization = 0.00 μB/cell
Calculated total energy = -4.65 eV/atom


(5)
Below is a geometry-optimized ErScGa2Pt4 structure, with properties calculated at the PBE-GGA level.

Geometry as extended XYZ:
```
8
Lattice="4.553 0.000 0.000 0.000 4.553 0.000 0.000 0.000 6.666" Properties=species:S:1:pos:R:3 pbc="T T T"
Er 0.000 0.000 0.000
Sc 2.276 2.276 3.333
Ga 0.000 0.000 3.333
Ga 2.276 2.276 0.000
Pt 0.000 2.276 1.763
Pt 0.000 2.276 4.903
Pt 2.276 0.000 1.763
Pt 2.276 0.000 4.903
```

Calculated values
Magnetization = 0.00 μB/cell
Energy above the most stable polymorph in this dataset = 0.1067 eV per atom
Calculated total energy = -6.09 eV/atom


(6)
Below is a geometry-optimized TaSi2 structure, with properties calculated at the PBE-GGA level.

Geometry as extended XYZ:
```
6
Lattice="0.000 3.471 3.471 3.471 0.000 3.471 3.471 3.471 0.000" Properties=species:S:1:pos:R:3 pbc="T T T"
Ta 0.868 0.868 0.868
Ta 6.075 6.075 6.075
Si 3.471 1.736 1.736
Si 1.736 3.471 1.736
Si 1.736 1.736 3.471
Si 3.471 3.471 3.471
```

Calculated values
Magnetization = 0.00 μB/cell
Calculated total energy = -7.45 eV/atom


(7)
Below is a geometry-optimized AcHfMg structure, with properties calculated at the PBE-GGA level.

Geometry as extended XYZ:
```
3
Lattice="0.000 3.774 3.774 3.774 0.000 3.774 3.774 3.774 0.000" Properties=species:S:1:pos:R:3 pbc="T T T"
Ac 0.000 0.000 0.000
Hf 5.661 5.661 5.661
Mg 1.887 1.887 1.887
```

Calculated values
Magnetization = 0.11 μB/cell
Energy above the most stable polymorph in this dataset = 0.3883 eV per atom
Calculated total energy = -4.04 eV/atom


(8)
Below is a geometry-optimized Pr3Pd2Pt7 structure, with properties calculated at the PBE-GGA level.

Geometry as extended XYZ:
```
12
Lattice="2.738 1.581 9.005 -2.738 1.581 9.005 0.000 -3.161 9.005" Properties=species:S:1:pos:R:3 pbc="T T T"
Pr 0.000 0.000 0.000
Pr 0.000 0.000 3.760
Pr 0.000 0.000 23.254
Pd 0.000 0.000 8.991
Pd 0.000 0.000 18.023
Pt -1.382 -0.798 11.289
Pt 0.000 -1.596 15.726
Pt -1.382 0.798 15.726
Pt 0.000 0.000 13.507
Pt 1.382 -0.798 11.289
Pt 0.000 1.596 11.289
Pt 1.382 0.798 15.726
```

Calculated values
ΔE_f = -0.88 eV per atom
Magnetization = 0.01 μB/cell
Calculated total energy = -6.47 eV/atom


(9)
Below is a geometry-optimized Er6Si2Ni structure, with properties calculated at the PBE-GGA level.

Geometry as extended XYZ:
```
9
Lattice="7.710 0.000 0.000 -3.855 6.677 0.000 0.000 0.000 4.126" Properties=species:S:1:pos:R:3 pbc="T T T"
Er -0.970 1.680 0.000
Er -2.278 3.946 2.063
Er 1.940 0.000 0.000
Er 1.577 2.731 2.063
Er 4.557 0.000 2.063
Er 2.885 4.997 0.000
Si 0.000 4.451 0.000
Si 3.855 2.226 0.000
Ni 0.000 0.000 2.063
```

Calculated values
Magnetization = 0.07 μB/cell
Calculated total energy = -5.32 eV/atom


(10)
Below is a geometry-optimized TlCuHgIr structure, with properties calculated at the PBE-GGA level.

Geometry as extended XYZ:
```
4
Lattice="0.000 3.293 3.293 3.293 0.000 3.293 3.293 3.293 0.000" Properties=species:S:1:pos:R:3 pbc="T T T"
Tl 0.000 0.000 0.000
Cu 1.647 1.647 1.647
Hg 3.293 3.293 3.293
Ir 4.940 4.940 4.940
```

Calculated values
Magnetization = 0.00 μB/cell
Energy above the most stable polymorph in this dataset = 0.0000 eV per atom
Calculated total energy = -3.37 eV/atom


(11)
Below is a geometry-optimized Dy3Mg3ZnGa2 structure, with properties calculated at the PBE-GGA level.

Geometry as extended XYZ:
```
9
Lattice="7.297 0.000 0.000 -3.648 6.319 0.000 0.000 0.000 4.386" Properties=species:S:1:pos:R:3 pbc="T T T"
Dy -2.103 3.643 0.000
Dy 1.545 2.676 0.000
Dy 4.207 0.000 0.000
Mg -0.886 1.534 2.193
Mg 1.771 0.000 2.193
Mg 2.763 4.785 2.193
Zn 0.000 0.000 0.000
Ga 0.000 4.213 2.193
Ga 3.648 2.106 2.193
```

Calculated values
Magnetization = 0.00 μB/cell
Calculated total energy = -3.31 eV/atom


(12)
Below is a geometry-optimized Y4Hf2Pb3N3 structure, with properties calculated at the PBE-GGA level.

Geometry as extended XYZ:
```
24
Lattice="5.226 -3.025 0.000 5.226 3.025 0.000 -3.572 0.000 15.102" Properties=species:S:1:pos:R:3 pbc="T T T"
Y 0.877 0.456 1.312
Y 0.782 0.532 6.239
Y -0.909 -0.456 8.863
Y -1.004 -0.532 13.790
Y 7.883 0.532 1.312
Y 7.788 0.456 6.239
Y 6.097 -0.532 8.864
Y 6.002 -0.456 13.790
Hf 4.315 0.527 1.131
Hf 4.350 0.527 6.420
Hf 2.529 -0.527 8.682
Hf 2.564 -0.527 13.971
Pb 4.333 2.374 3.776
Pb 0.923 0.430 11.364
Pb 2.709 -0.430 3.813
Pb 4.170 0.430 11.289
Pb 5.957 -0.430 3.738
Pb 2.547 -2.374 11.327
N 2.613 1.512 0.000
N 2.645 1.387 7.551
N 6.021 1.387 0.000
N 0.827 -1.512 7.551
N 4.431 -1.387 0.000
N 4.235 -1.387 7.551
```

Calculated values
Magnetization = 0.00 μB/cell
Calculated total energy = -7.86 eV/atom